A plane-wave DFT calculation with PBE was carried out for a relaxed structure of MnInSe2.

Its total magnetic moment is 0.02 μB per cell. The theoretical density is 6.861 g/cm3. As for the total energy: -0.1701 hartree per atom. The density of states at the Fermi level comes out at 3.348 states/eV/cell. The value obtained for the formation energy from raw total energies is 0.091 eV per atom.

The structure belongs to space group P4mm (No. 99); the cell edges are 2.969, 2.969 and 8.994 Å and the angles 90.00°, 90.00° and 90.00°. Symmetry generates all atoms from Mn at (0.000, 0.000, 0.000), In at (0.500, 0.500, 0.786), Se at (0.000, 0.000, 0.502) and Se at (0.500, 0.500, 0.137).